A plane-wave DFT calculation with GGA+U was carried out for crystalline Sr2PaMoO6 at its relaxed geometry.

Cell and atoms, written as POSCAR:
```
Sr2PaMoO6
1.0
-0.090 4.384 -3.994
0.644 -4.031 -4.439
-8.381 -0.668 -0.609
O Pa Sr Mo
12 2 4 2
Cartesian
-7.533 -0.355 -7.251
-7.877 1.284 -4.698
-4.134 -0.077 -7.016
-2.123 2.297 -2.640
-3.349 -1.883 -4.586
-5.705 -2.612 -6.403
-1.843 1.687 -6.143
0.049 -1.599 -4.345
-0.295 0.040 -1.792
-5.985 -2.003 -2.900
-3.694 -0.239 -2.027
-4.478 1.567 -4.457
-4.236 1.858 -2.302
0.322 -2.016 -2.220
-1.833 0.128 -4.145
-5.995 -0.443 -4.897
-1.489 -3.989 -4.454
-6.339 3.673 -4.589
-0.045 2.192 -1.997
-3.869 -2.350 -2.524
```

Properties
size of the total moment = 3.000 μB per formula unit
calculated volume = 15.08 A^3/atom
calculated density = 6.59 Mg/m³
E_tot = -7.895 eV per atom
SG = P2_1/c